Below is crystalline KBa2CaSe at its relaxed geometry, with properties calculated at the PBE level.

```
KBa2CaSe
1.0
6.661 0.000 0.000
0.000 6.661 0.000
0.000 0.000 5.812
K Ba Ca Se
1 2 1 1
Cartesian
0.000 0.000 0.000
0.000 3.330 2.906
3.330 0.000 2.906
3.330 3.330 0.000
3.330 3.330 2.906
```

The formation energy (no corrections) is -631.0 meV/atom. For the total energy, the calculation gives -2.717 eV/atom.